The following is a DFT calculation (PBE+U) of a relaxed CaFeS2O8 crystal.

Structure (extended XYZ):
```
12
Lattice="-4.3954 -0.1795 2.7541 3.8525 -3.3181 1.0419 2.5951 4.4037 4.4286" Properties=species:S:1:pos:R:3 pbc="T T T"
Ca 0.0000 0.0000 0.0000
Fe 1.2976 2.2019 2.2143
S -1.0771 -0.2601 3.1544
S 3.1293 1.1663 5.0702
O 3.6944 2.1252 6.0345
O -0.1129 0.6276 2.4413
O -2.1878 0.5497 3.7347
O -1.6422 -1.2190 2.1901
O 4.2400 0.3565 4.4899
O 2.1651 0.2786 5.7833
O 2.4290 1.9240 3.9924
O -0.3768 -1.0178 4.2322
```

total DFT energy (no corrections) = -6.42 eV per atom